VASP calculation (GGA-PBE) on a relaxed FeSiH crystal.

Cell lengths 3.4656, 2.9288, 2.9279 Å; angles 120.16, 90.00, 90.00 degrees
Last column: nearest neighbours and their distance in Å.
Element x y z (fractional)
Fe: 0.1482 0.8491 0.8618  3 H 1.69
Si: 0.6471 0.1825 0.5283  6 H 2.39-2.46, 6 Fe 2.42-2.43
H: 0.1337 0.5162 0.1945  3 Fe 1.69

For the spin magnetization, the calculation gives 0.00 μB per atom. The polymorph energy (0 for the lowest one) is 0.072 eV per atom. The space group is Cm (8). The mass density is 5.49 g/cm3. The value obtained for the energy is -5.759 eV/atom. Its crystal system is monoclinic.

---

VASP calculation (GGA-PBE) on a relaxed Fe2SiH crystal.

Cell lengths 5.4315, 5.4315, 4.5940 Å; angles 53.76, 53.76, 90.00 degrees
Last column: nearest neighbours and their distance in Å.
Element x y z (fractional)
H: 0.2500 0.7500 0.5000  4 Fe 1.70
H: 0.5000 0.5000 0.0000  4 Fe 1.70
Fe: 0.8750 0.7752 0.7500  2 H 1.70
Fe: 0.3750 0.4748 0.7500  2 H 1.70
Fe: 0.2248 0.6250 0.2500  2 H 1.70
Fe: 0.5252 0.1250 0.2500  2 H 1.70
Si: 0.7500 0.2500 0.5000  8 Fe 2.42-2.47, 2 H 2.52
Si: 0.0000 0.0000 0.0000  8 Fe 2.42-2.47, 2 H 2.52

For the spin magnetization, the calculation gives 0.75 μB per atom. The space group is I-42d (122). The mass density is 6.29 g/cm3. The value obtained for the energy is -6.467 eV/atom. Its crystal system is tetragonal.

---

| no. | density of states at the Fermi level (states/eV per atom) |
| --- | --- |
| 1 | 0.4050 |
| 2 | 0.5667 |